1.
CsNaLa2Cl8: optimized geometry, PBE-GGA.

## Properties
Energy relative to the elements, uncorrected   -2194.5 meV per atom
Density   2.66 g/cm³
SG   No. 10
Crystal system   monoclinic
Electronic total energy   -4.428 eV per atom
Size of the total moment   0.00 Bohr magnetons per cell
D(E_F)   0.00 states/eV/atom

a b c (Å): 7.1164 7.0416 8.9742
angles (deg): 90.02 90.01 85.07
With the nearest neighbours (Å) after each atom.
Atoms (fractional coordinates):
Cl 0.8048 0.2400 0.7873  1 La 2.73, 1 Na 2.83
Cl 0.8049 0.2401 0.2127  1 La 2.73, 1 Na 2.83
Cl 0.6582 0.6956 0.0000  2 La 2.85
Cl 0.6382 0.6897 0.5000  2 La 2.89
Cl 0.1952 0.7600 0.2127  1 La 2.73, 1 Na 2.83
Cl 0.3618 0.3103 0.5000  2 La 2.89
Cl 0.3418 0.3044 0.0000  2 La 2.85
Cl 0.1951 0.7599 0.7873  1 La 2.73, 1 Na 2.83
La 0.5000 0.5000 0.2418  6 Cl 2.73-2.89
La 0.5000 0.5000 0.7582  6 Cl 2.73-2.89
Cs 0.0000 0.0000 0.5000  6 Cl 3.32-3.52
Na 0.0000 0.0000 0.0000  4 Cl 2.83


2.
Cs2LaNiCl6: optimized geometry, PBE-GGA.

## Properties
Energy relative to the elements, uncorrected   -1761.5 meV per atom
Density   3.47 g/cm³
SG   No. 139
Crystal system   tetragonal
Electronic total energy   -4.111 eV per atom
Size of the total moment   1.00 Bohr magnetons per cell
D(E_F)   0.00 states/eV/atom

a b c (Å): 7.2511 7.2511 8.0089
angles (deg): 63.08 63.08 90.00
With the nearest neighbours (Å) after each atom.
Atoms (fractional coordinates):
Cl 0.2255 0.2255 0.5491  1 La 2.77
Cl 0.7745 0.7745 0.4509  1 La 2.77
Cl 0.2713 0.7287 0.0000  1 Ni 2.35
Cl 0.2713 0.2713 0.0000  1 Ni 2.35
Cl 0.7287 0.7287 0.0000  1 Ni 2.35
Cl 0.7287 0.2713 0.0000  1 Ni 2.35
Ni 0.5000 0.5000 0.0000  4 Cl 2.35
La 0.0000 0.0000 0.0000  6 Cl 2.77-2.78
Cs 0.2500 0.7500 0.5000  12 Cl 3.64-4.01
Cs 0.7500 0.2500 0.5000  12 Cl 3.64-4.01


3.
CsLaCl2O: optimized geometry, PBE-GGA.

## Properties
Energy relative to the elements, uncorrected   -2470.0 meV per atom
Density   3.81 g/cm³
SG   No. 123
Crystal system   tetragonal
Electronic total energy   -5.357 eV per atom
Size of the total moment   0.00 Bohr magnetons per cell
D(E_F)   0.00 states/eV/atom

a b c (Å): 5.9401 5.9401 4.4251
angles (deg): 90.00 90.00 90.00
With the nearest neighbours (Å) after each atom.
Atoms (fractional coordinates):
La 0.0000 0.0000 0.0000  2 O 2.21
Cl 0.0000 0.5000 0.0000  2 La 2.97
Cl 0.5000 0.0000 0.0000  2 La 2.97
O 0.0000 0.0000 0.5000  2 La 2.21
Cs 0.5000 0.5000 0.5000  8 Cl 3.70


4.
Cs2LaCl2O2: optimized geometry, PBE-GGA.

## Properties
Energy relative to the elements, uncorrected   -2110.2 meV per atom
Density   4.11 g/cm³
SG   No. 139
Crystal system   tetragonal
Electronic total energy   -5.002 eV per atom
Size of the total moment   1.00 Bohr magnetons per cell
D(E_F)   0.45 states/eV/atom

a b c (Å): 4.7351 4.7351 9.7471
angles (deg): 104.06 104.06 90.00
With the nearest neighbours (Å) after each atom.
Atoms (fractional coordinates):
Cl 0.1623 0.1623 0.3246  1 La 2.97
Cl 0.8377 0.8377 0.6754  1 La 2.97
La 0.0000 0.0000 0.0000  4 O 2.37
O 0.0000 0.5000 0.0000  2 La 2.37
O 0.5000 0.0000 0.0000  2 La 2.37
Cs 0.6384 0.6384 0.2767  5 Cl 3.38-3.65, 4 O 3.47
Cs 0.3616 0.3616 0.7233  5 Cl 3.38-3.65, 4 O 3.47


5.
Cs2LaCl6O: optimized geometry, PBE-GGA.

## Properties
Energy relative to the elements, uncorrected   -1441.3 meV per atom
Density   3.19 g/cm³
SG   No. 139
Crystal system   tetragonal
Electronic total energy   -3.709 eV per atom
Size of the total moment   1.00 Bohr magnetons per cell
D(E_F)   0.22 states/eV/atom

a b c (Å): 7.1946 7.1946 8.1571
angles (deg): 63.83 63.83 90.00
With the nearest neighbours (Å) after each atom.
Atoms (fractional coordinates):
Cl 0.2710 0.7290 0.0000  1 O 2.33
Cl 0.2710 0.2710 0.0000  1 O 2.33
Cl 0.7290 0.7290 0.0000  1 O 2.33
Cl 0.7831 0.7831 0.4338  1 La 2.77
Cl 0.7290 0.2710 0.0000  1 O 2.33
Cl 0.2169 0.2169 0.5662  1 La 2.77
O 0.5000 0.5000 0.0000  4 Cl 2.33
Cs 0.7500 0.2500 0.5000  4 Cl 3.62
Cs 0.2500 0.7500 0.5000  4 Cl 3.62
La 0.0000 0.0000 0.0000  6 Cl 2.76-2.77


6.
Cs2LaOsCl6: optimized geometry, PBE-GGA.

## Properties
Energy relative to the elements, uncorrected   -1351.1 meV per atom
Density   4.52 g/cm³
SG   No. 225
Crystal system   cubic
Electronic total energy   -4.245 eV per atom
Size of the total moment   1.00 Bohr magnetons per cell
D(E_F)   0.49 states/eV/atom

a b c (Å): 7.4867 7.4867 7.4867
angles (deg): 60.00 60.00 90.00
With the nearest neighbours (Å) after each atom.
Atoms (fractional coordinates):
Cs 0.7500 0.2500 0.5000  12 Cl 3.75
Cs 0.2500 0.7500 0.5000  12 Cl 3.75
Os 0.0000 0.0000 0.0000  6 Cl 2.49
La 0.5000 0.5000 0.0000  6 Cl 2.80
Cl 0.2356 0.2356 0.5289  1 Os 2.49
Cl 0.7644 0.7644 0.4711  1 Os 2.49
Cl 0.2356 0.2356 0.0000  1 Os 2.49
Cl 0.7644 0.7644 0.0000  1 Os 2.49
Cl 0.7644 0.2356 0.0000  1 Os 2.49
Cl 0.2356 0.7644 0.0000  1 Os 2.49


7.
Cs2LaPCl6: optimized geometry, PBE-GGA.

## Properties
Energy relative to the elements, uncorrected   -1580.2 meV per atom
Density   2.92 g/cm³
SG   No. 139
Crystal system   tetragonal
Electronic total energy   -3.893 eV per atom
Size of the total moment   0.00 Bohr magnetons per cell
D(E_F)   0.00 states/eV/atom

a b c (Å): 7.4242 7.4242 8.4976
angles (deg): 64.10 64.10 90.00
With the nearest neighbours (Å) after each atom.
Atoms (fractional coordinates):
Cs 0.2500 0.7500 0.5000  4 Cl 3.76
Cs 0.7500 0.2500 0.5000  4 Cl 3.76
Cl 0.7361 0.2639 0.0000  1 P 2.48, 1 La 2.77
Cl 0.7361 0.7361 0.0000  1 P 2.48, 1 La 2.77
Cl 0.7927 0.7927 0.4146  1 La 2.77
Cl 0.2639 0.7361 0.0000  1 P 2.48, 1 La 2.77
Cl 0.2639 0.2639 0.0000  1 P 2.48, 1 La 2.77
Cl 0.2073 0.2073 0.5854  1 La 2.77
La 0.0000 0.0000 0.0000  6 Cl 2.77
P 0.5000 0.5000 0.0000  4 Cl 2.48


8.
CsLaP2Cl: optimized geometry, PBE-GGA.

## Properties
Energy relative to the elements, uncorrected   422.9 meV per atom
Density   3.73 g/cm³
SG   No. 123
Distance to the lowest polymorph of the same formula   1023 meV/atom
Crystal system   tetragonal
Electronic total energy   -3.267 eV per atom
Size of the total moment   0.01 Bohr magnetons per cell
D(E_F)   1.35 states/eV/atom

a b c (Å): 5.3839 5.3839 5.6634
angles (deg): 90.00 90.00 90.00
With the nearest neighbours (Å) after each atom.
Atoms (fractional coordinates):
La 0.5000 0.5000 0.5000  4 Cl 3.81, 8 P 3.91
P 0.0000 0.5000 0.0000  2 Cs 2.69
P 0.5000 0.0000 0.0000  2 Cs 2.69
Cl 0.0000 0.0000 0.5000  2 Cs 2.83
Cs 0.0000 0.0000 0.0000  4 P 2.69, 2 Cl 2.83


The highest D(E_F) belongs to which entry? CsLaP2Cl